Entry from Alexandria via LeMat-Bulk: crystalline LiInAg at its relaxed geometry (PBE-GGA).

a = 5.492 Å, b = 5.435 Å, c = 4.786 Å
α = 112.51°, β = 115.37°, γ = 64.80°
Fractional positions:
In1 0.732 0.003 0.222
Li1 0.902 0.505 0.561
Ag1 0.056 0.999 0.880
In2 0.542 0.493 0.872
Li2 0.208 0.492 0.206
Ag2 0.378 0.983 0.532

final energy: -2.6847 eV/atom
crystal system: triclinic
DFT formation energy: -0.183 eV per atom
total magnetization: 0.00 μB/f.u.